This record from the Alexandria database describes crystalline Li2MnFeB2O6 at its relaxed geometry. The functional is GGA+U.

Calculated values
symmetry = P-1, No. 2
energy above the lowest structure with this stoichiometry = 0.04 eV/f.u.
magnetization = 9.02 μB per formula unit
VASP energy = -7.112 eV per atom

a b c (Å): 5.253 9.017 6.003
angles (deg): 102.59 113.95 90.90
Site moments in Bohr magnetons follow the coordinates.
Sites, in units of the cell vectors:
B: 0.057 0.135 0.262  0.02
B: 0.451 0.368 0.741  0.02
B: 0.943 0.865 0.738  0.02
B: 0.549 0.632 0.259  0.02
Mn: 0.038 0.794 0.232  4.63
Mn: 0.962 0.206 0.768  4.63
O: 0.129 0.256 0.179  0.04
O: 0.777 0.982 0.699  0.03
O: 0.613 0.753 0.170  0.04
O: 0.820 0.136 0.314  0.05
O: 0.180 0.864 0.686  0.05
O: 0.223 0.018 0.301  0.03
O: 0.719 0.516 0.295  0.03
O: 0.871 0.744 0.821  0.04
O: 0.387 0.247 0.830  0.04
O: 0.679 0.365 0.678  0.04
O: 0.322 0.635 0.323  0.04
O: 0.281 0.484 0.705  0.03
Fe: 0.553 0.295 0.243  3.77
Fe: 0.447 0.705 0.757  3.77
Li: 0.910 0.534 0.676  0.00
Li: 0.413 0.035 0.680  0.00
Li: 0.090 0.466 0.324  0.00
Li: 0.587 0.965 0.320  0.00